Record 1
A crystal of YSbAs2 relaxed with PBEsol. Source: Alexandria, functional meta-GGA SCAN.

Total magnetic moment ... 0.00 μB/f.u.
Total energy ... -26.52 eV per atom
Calculated volume ... 22.68 A^3/atom

Cell: 5.0433 5.0433 5.0433 Å, 60.00 60.00 60.00°
With the nearest neighbours (Å) after each atom.
Fractional coordinates of all 4 atoms:
As 0.0000 0.0000 0.0000  4 As 3.09, 4 Y 3.09
As 0.7500 0.7500 0.7500  4 As 3.09, 4 Sb 3.09
Y 0.2500 0.2500 0.2500  4 As 3.09, 4 Sb 3.09
Sb 0.5000 0.5000 0.5000  4 Y 3.09, 4 As 3.09

---

Record 2
A crystal of ZrTeBr2 relaxed with PBEsol. Source: Alexandria, functional meta-GGA SCAN.

Total magnetic moment ... 0.00 μB/f.u.
Total energy ... -26.77 eV per atom
Calculated volume ... 24.07 A^3/atom

Cell: 4.3670 4.3670 5.0479 Å, 90.00 90.00 90.00°
With the nearest neighbours (Å) after each atom.
Fractional coordinates of all 4 atoms:
Br 0.5000 0.0000 0.0000  4 Br 3.09, 4 Zr 3.34, 4 Te 3.34
Br 0.0000 0.5000 0.0000  4 Br 3.09, 4 Te 3.34, 4 Zr 3.34
Te 0.5000 0.5000 0.5000  4 Zr 3.09, 8 Br 3.34
Zr 0.0000 0.0000 0.5000  4 Te 3.09, 8 Br 3.34

---

Record 3
A crystal of Be2Ir3 relaxed with PBEsol. Source: Alexandria, functional meta-GGA SCAN.

Formation energy ... -0.283 eV per atom
Total magnetic moment ... 0.00 μB/f.u.
Calculated volume ... 12.10 A^3/atom

Cell: 3.8272 3.8272 4.7682 Å, 90.00 90.00 120.00°
With the nearest neighbours (Å) after each atom.
Fractional coordinates of all 5 atoms:
Ir 0.6667 0.3333 0.6557  5 Be 2.34-2.43
Ir 0.0000 0.0000 0.0000  6 Be 2.34
Ir 0.3333 0.6667 0.3443  5 Be 2.34-2.43
Be 0.6667 0.3333 0.1643  8 Ir 2.34-2.43
Be 0.3333 0.6667 0.8357  8 Ir 2.34-2.43

---

Record 4
A crystal of Cs3AsBr6 relaxed with PBEsol. Source: Alexandria, functional meta-GGA SCAN.

Total magnetic moment ... 0.00 μB/f.u.
Total energy ... -26.41 eV per atom
Calculated volume ... 41.47 A^3/atom

Cell: 8.3707 8.3707 8.3707 Å, 60.00 60.00 60.00°
With the nearest neighbours (Å) after each atom.
Fractional coordinates of all 10 atoms:
Br 0.7782 0.2218 0.7782  1 As 2.63
Br 0.7782 0.2218 0.2218  1 As 2.63
Br 0.7782 0.7782 0.2218  1 As 2.63
Br 0.2218 0.2218 0.7782  1 As 2.63
Br 0.2218 0.7782 0.2218  1 As 2.63
Br 0.2218 0.7782 0.7782  1 As 2.63
Cs 0.7500 0.7500 0.7500  12 Br 4.20
Cs 0.5000 0.5000 0.5000  6 Br 3.29
Cs 0.2500 0.2500 0.2500  12 Br 4.20
As 0.0000 0.0000 0.0000  6 Br 2.63

---

Record 5
A crystal of CoCu2Ru relaxed with PBEsol. Source: Alexandria, functional meta-GGA SCAN.

Formation energy ... 0.274 eV per atom
Total magnetic moment ... 2.23 μB/f.u.
Calculated volume ... 11.81 A^3/atom

Cell: 2.4523 4.2770 4.5198 Å, 90.00 94.87 90.00°
With the nearest neighbours (Å) after each atom.
Fractional coordinates of all 4 atoms:
Co 0.0000 0.5000 0.5000  2 Co 2.45, 4 Ru 2.48-2.66, 4 Cu 2.48
Cu 0.7931 0.0000 0.7441  5 Cu 2.45-2.53, 2 Co 2.48, 2 Ru 2.56
Cu 0.2069 0.0000 0.2559  5 Cu 2.45-2.53, 2 Co 2.48, 2 Ru 2.56
Ru 0.5000 0.5000 0.0000  2 Ru 2.45, 4 Co 2.48-2.66, 4 Cu 2.56

---

Record 6
A crystal of YAl2Ir2 relaxed with PBEsol. Source: Alexandria, functional meta-GGA SCAN.

Formation energy ... -1.079 eV per atom
Total magnetic moment ... 0.00 μB/f.u.
Calculated volume ... 17.60 A^3/atom

Cell: 3.9086 3.9086 6.3890 Å, 107.81 107.81 90.00°
With the nearest neighbours (Å) after each atom.
Fractional coordinates of all 5 atoms:
Y 0.0000 0.0000 0.0000  8 Ir 3.06
Ir 0.6135 0.6135 0.2270  4 Al 2.51, 1 Ir 2.61
Ir 0.3865 0.3865 0.7730  4 Al 2.51, 1 Ir 2.61
Al 0.7500 0.2500 0.5000  4 Ir 2.51, 4 Al 2.76
Al 0.2500 0.7500 0.5000  4 Ir 2.51, 4 Al 2.76

---

Record 7
A crystal of Y2AgRu relaxed with PBEsol. Source: Alexandria, functional meta-GGA SCAN.

Formation energy ... -0.476 eV per atom
Total magnetic moment ... 0.00 μB/f.u.
Calculated volume ... 20.89 A^3/atom

Cell: 3.3888 3.3888 7.2765 Å, 90.00 90.00 90.00°
With the nearest neighbours (Å) after each atom.
Fractional coordinates of all 4 atoms:
Ru 0.5000 0.5000 0.0000  8 Y 2.90
Y 0.0000 0.0000 0.7743  4 Ru 2.90, 4 Ag 3.12
Y 0.0000 0.0000 0.2257  4 Ru 2.90, 4 Ag 3.12
Ag 0.5000 0.5000 0.5000  8 Y 3.12, 4 Ag 3.39

---

Record 8
A crystal of HfCrAgS4 relaxed with PBEsol. Source: Alexandria, functional meta-GGA SCAN.

Total magnetic moment ... 3.00 μB/f.u.
Total energy ... -22.76 eV per atom
Calculated volume ... 19.44 A^3/atom

Cell: 7.2524 7.2524 7.2524 Å, 88.93 60.31 119.08°
With the nearest neighbours (Å) after each atom.
Fractional coordinates of all 14 atoms:
Cr 0.5001 0.2501 0.7500  6 S 2.40-2.41
Cr 0.9999 0.2499 0.2500  6 S 2.40-2.41
S 0.5131 0.0133 0.9744  1 Cr 2.41, 1 Ag 2.44, 2 Hf 2.53
S 0.0124 0.4867 0.0002  1 Cr 2.41, 1 Ag 2.44, 2 Hf 2.53
S 0.9634 0.4602 0.5029  2 Cr 2.40, 1 Ag 2.42, 1 Hf 2.52
S 0.5366 0.0337 0.5032  2 Cr 2.40, 1 Ag 2.42, 1 Hf 2.52
S 0.9869 0.0125 0.4998  1 Cr 2.41, 1 Ag 2.44, 2 Hf 2.53
S 0.4631 0.4663 0.9971  2 Cr 2.40, 1 Ag 2.42, 1 Hf 2.52
S 0.0369 0.0398 0.9968  2 Cr 2.40, 1 Ag 2.42, 1 Hf 2.52
S 0.4876 0.4875 0.5256  1 Cr 2.41, 1 Ag 2.44, 2 Hf 2.53
Hf 0.0006 0.2500 0.7494  6 S 2.52-2.53
Hf 0.4994 0.7500 0.7506  6 S 2.52-2.53
Ag 0.7500 0.6368 0.1132  4 S 2.42-2.44
Ag 0.2500 0.8632 0.3868  4 S 2.42-2.44

---

Record 9
A crystal of MgCo3 relaxed with PBEsol. Source: Alexandria, functional meta-GGA SCAN.

Formation energy ... 0.271 eV per atom
Total magnetic moment ... 4.90 μB/f.u.
Calculated volume ... 11.67 A^3/atom

Cell: 4.1127 5.1138 5.1138 Å, 119.77 90.00 90.00°
With the nearest neighbours (Å) after each atom.
Fractional coordinates of all 8 atoms:
Mg 0.7500 0.0881 0.9119  10 Co 2.47-2.64, 2 Mg 2.58
Mg 0.2500 0.9119 0.0881  10 Co 2.47-2.64, 2 Mg 2.58
Co 0.2500 0.9130 0.5714  4 Mg 2.47-2.64, 8 Co 2.49-2.65
Co 0.7500 0.5837 0.4163  10 Co 2.52-2.57, 2 Mg 2.57
Co 0.7500 0.0870 0.4286  4 Mg 2.47-2.64, 8 Co 2.49-2.65
Co 0.2500 0.4286 0.0870  4 Mg 2.47-2.64, 8 Co 2.49-2.65
Co 0.7500 0.5714 0.9130  4 Mg 2.47-2.64, 8 Co 2.49-2.65
Co 0.2500 0.4163 0.5837  10 Co 2.52-2.57, 2 Mg 2.57

---

Record 10
A crystal of Sr4Fe3MoO12 relaxed with PBEsol. Source: Alexandria, functional meta-GGA SCAN.

Total magnetic moment ... 12.34 μB/f.u.
Total energy ... -15.11 eV per atom
Calculated volume ... 11.28 A^3/atom

Cell: 6.6416 6.6416 6.6416 Å, 109.47 109.47 109.47°
With the nearest neighbours (Å) after each atom.
Fractional coordinates of all 20 atoms:
O 0.7500 0.2500 0.5000  2 Fe 1.92
O 0.2500 0.7500 0.5000  2 Fe 1.92
O 0.5000 0.2500 0.7500  2 Fe 1.92
O 0.0000 0.7513 0.7513  1 Mo 1.91, 1 Fe 1.93
O 0.2500 0.5000 0.7500  2 Fe 1.92
O 0.7513 0.7513 0.0000  1 Mo 1.91, 1 Fe 1.93
O 0.0000 0.2487 0.2487  1 Mo 1.91, 1 Fe 1.93
O 0.5000 0.7500 0.2500  2 Fe 1.92
O 0.7513 0.0000 0.7513  1 Mo 1.91, 1 Fe 1.93
O 0.7500 0.5000 0.2500  2 Fe 1.92
O 0.2487 0.0000 0.2487  1 Mo 1.91, 1 Fe 1.93
O 0.2487 0.2487 0.0000  1 Mo 1.91, 1 Fe 1.93
Sr 0.5000 0.5000 0.5000  12 O 2.71
Sr 0.0000 0.5000 0.0000  12 O 2.71
Sr 0.5000 0.0000 0.0000  12 O 2.71
Sr 0.0000 0.0000 0.5000  12 O 2.71
Mo 0.0000 0.0000 0.0000  6 O 1.91
Fe 0.5000 0.5000 0.0000  6 O 1.92-1.93
Fe 0.5000 0.0000 0.5000  6 O 1.92-1.93
Fe 0.0000 0.5000 0.5000  6 O 1.92-1.93

---

Record 11
A crystal of Zr5Au relaxed with PBEsol. Source: Alexandria, functional meta-GGA SCAN.

Formation energy ... -0.235 eV per atom
Total magnetic moment ... 0.00 μB/f.u.
Calculated volume ... 21.21 A^3/atom

Cell: 3.1588 5.7991 7.5209 Å, 105.65 90.00 105.80°
With the nearest neighbours (Å) after each atom.
Fractional coordinates of all 6 atoms:
Au 0.9888 0.9777 0.9992  6 Zr 2.86-2.89, 2 Au 3.16
Zr 0.3450 0.6900 0.6963  2 Au 2.86, 7 Zr 3.08-3.20
Zr 0.3976 0.7953 0.2554  2 Au 2.89, 9 Zr 3.06-3.19
Zr 0.0578 0.1156 0.5985  11 Zr 3.06-3.16, 1 Au 3.31
Zr 0.6847 0.3694 0.3378  10 Zr 2.97-3.20, 2 Au 3.26
Zr 0.6926 0.3853 0.9461  3 Au 2.89-3.22, 7 Zr 2.97-3.19

---

Record 12
A crystal of IrOsRh relaxed with PBEsol. Source: Alexandria, functional meta-GGA SCAN.

Formation energy ... 0.019 eV per atom
Total magnetic moment ... 0.00 μB/f.u.
Calculated volume ... 13.87 A^3/atom

Cell: 2.6971 2.6971 6.6072 Å, 90.00 90.00 120.00°
With the nearest neighbours (Å) after each atom.
Fractional coordinates of all 3 atoms:
Rh 0.6667 0.3333 0.3378  3 Os 2.67, 6 Rh 2.70, 3 Ir 2.75
Ir 0.0000 0.0000 0.9955  3 Os 2.67, 6 Ir 2.70, 3 Rh 2.75
Os 0.3333 0.6667 0.6667  3 Ir 2.67, 3 Rh 2.67, 6 Os 2.70

---

Record 13
A crystal of CaRhSe2 relaxed with PBEsol. Source: Alexandria, functional meta-GGA SCAN.

Total magnetic moment ... 0.00 μB/f.u.
Total energy ... -21.84 eV per atom
Calculated volume ... 21.15 A^3/atom

Cell: 3.7959 4.7760 4.7760 Å, 102.31 90.00 90.00°
With the nearest neighbours (Å) after each atom.
Fractional coordinates of all 4 atoms:
Ca 0.5000 0.5000 0.5000  4 Se 2.91, 2 Rh 3.00
Se 0.0000 0.2027 0.7973  2 Rh 2.42
Se 0.0000 0.7973 0.2027  2 Rh 2.42
Rh 0.5000 0.0000 0.0000  4 Se 2.42

---

Record 14
A crystal of CsZr3Te relaxed with PBEsol. Source: Alexandria, functional meta-GGA SCAN.

Total magnetic moment ... 2.15 μB/f.u.
Total energy ... -31.58 eV per atom
Calculated volume ... 28.19 A^3/atom

Cell: 5.2042 5.2042 5.2042 Å, 90.00 90.00 90.00°
With the nearest neighbours (Å) after each atom.
Fractional coordinates of all 5 atoms:
Zr 0.0000 0.5000 0.0000  2 Cs 2.60
Zr 0.5000 0.0000 0.0000  2 Cs 2.60
Zr 0.0000 0.0000 0.5000  2 Cs 2.60
Cs 0.0000 0.0000 0.0000  6 Zr 2.60
Te 0.5000 0.5000 0.5000  12 Zr 3.68

---

Record 15
A crystal of K2LiAl relaxed with PBEsol. Source: Alexandria, functional meta-GGA SCAN.

Formation energy ... 0.399 eV per atom
Total magnetic moment ... 0.00 μB/f.u.
Calculated volume ... 35.75 A^3/atom

Cell: 6.3686 7.4195 7.4195 Å, 79.39 64.58 64.58°
With the nearest neighbours (Å) after each atom.
Fractional coordinates of all 8 atoms:
K 0.1334 0.4916 0.9916  2 K 3.19, 2 Li 3.39, 2 Al 3.50
K 0.8750 0.9916 0.5084  2 K 3.19, 2 Li 3.39, 2 Al 3.50
K 0.6166 0.5084 0.0084  2 K 3.19, 2 Li 3.39, 2 Al 3.50
K 0.3750 0.0084 0.4916  2 K 3.19, 2 Li 3.39, 2 Al 3.50
Li 0.5000 0.0000 0.0000  2 Al 3.18, 4 K 3.39
Li 0.2500 0.5000 0.5000  2 Al 3.18, 4 K 3.39
Al 0.0000 0.0000 0.0000  2 Li 3.18, 4 K 3.50
Al 0.7500 0.5000 0.5000  2 Li 3.18, 4 K 3.50

---

Record 16
A crystal of LiP2BrO relaxed with PBEsol. Source: Alexandria, functional meta-GGA SCAN.

Total magnetic moment ... 0.00 μB/f.u.
Total energy ... -8.86 eV per atom
Calculated volume ... 18.70 A^3/atom

Cell: 3.6298 5.0748 5.0748 Å, 90.00 90.00 90.00°
With the nearest neighbours (Å) after each atom.
Fractional coordinates of all 5 atoms:
Li 0.5000 0.5000 0.5000  8 P 3.12
Br 0.0000 0.0000 0.0000  2 O 1.81
O 0.5000 0.0000 0.0000  2 Br 1.81
P 0.0000 0.5000 0.0000  2 Br 2.54
P 0.0000 0.0000 0.5000  2 Br 2.54

---

Record 17
A crystal of ScIr2Au relaxed with PBEsol. Source: Alexandria, functional meta-GGA SCAN.

Formation energy ... -0.345 eV per atom
Total magnetic moment ... 0.00 μB/f.u.
Calculated volume ... 15.75 A^3/atom

Cell: 2.8203 4.8226 5.3954 Å, 116.18 104.57 91.26°
With the nearest neighbours (Å) after each atom.
Fractional coordinates of all 4 atoms:
Sc 0.5000 0.0000 0.0000  4 Ir 2.71, 4 Au 2.77-2.82, 2 Sc 2.82
Ir 0.0000 0.0000 0.5000  2 Sc 2.71, 2 Au 2.71, 6 Ir 2.77-2.82
Ir 0.5000 0.5000 0.5000  2 Au 2.71, 2 Sc 2.71, 6 Ir 2.77-2.82
Au 0.0000 0.5000 0.0000  4 Ir 2.71, 4 Sc 2.77-2.82, 2 Au 2.82

---

Record 18
A crystal of AsPt2Rh relaxed with PBEsol. Source: Alexandria, functional meta-GGA SCAN.

Formation energy ... 0.006 eV per atom
Total magnetic moment ... 1.11 μB/f.u.
Calculated volume ... 14.92 A^3/atom

Cell: 2.8125 3.8612 5.4971 Å, 90.00 90.00 90.00°
With the nearest neighbours (Å) after each atom.
Fractional coordinates of all 4 atoms:
Pt 0.0000 0.0000 0.7548  4 Pt 2.70-2.81, 4 Rh 2.74, 4 As 2.77
Pt 0.0000 0.0000 0.2452  4 Pt 2.70-2.81, 4 Rh 2.74, 4 As 2.77
As 0.5000 0.5000 0.5000  2 Rh 2.75, 8 Pt 2.77, 2 As 2.81
Rh 0.5000 0.5000 0.0000  8 Pt 2.74, 2 As 2.75, 2 Rh 2.81

---

Record 19
A crystal of In7Te10 relaxed with PBEsol. Source: Alexandria, functional meta-GGA SCAN.

Total magnetic moment ... 0.00 μB/f.u.
Total energy ... -36.01 eV per atom
Calculated volume ... 35.02 A^3/atom

Cell: 10.6027 10.6027 10.6027 Å, 88.52 88.52 88.52°
With the nearest neighbours (Å) after each atom.
Fractional coordinates of all 34 atoms:
Te 0.6700 0.7844 0.4365  3 In 2.82-2.84
Te 0.1590 0.1590 0.1590  3 In 2.83
Te 0.4332 0.3369 0.9290  3 In 2.83-2.87
Te 0.4365 0.6700 0.7844  3 In 2.82-2.84
Te 0.5635 0.2156 0.3300  3 In 2.82-2.84
Te 0.2156 0.3300 0.5635  3 In 2.82-2.84
Te 0.3300 0.5635 0.2156  3 In 2.82-2.84
Te 0.5000 0.8963 0.1037  2 In 2.74
Te 0.8411 0.1589 0.0000  2 In 2.75
Te 0.1589 0.0000 0.8411  2 In 2.75
Te 0.8410 0.8410 0.8410  3 In 2.83
Te 0.3369 0.9290 0.4332  3 In 2.83-2.87
Te 0.0000 0.8411 0.1589  2 In 2.75
Te 0.8963 0.1037 0.5000  2 In 2.74
Te 0.6631 0.5668 0.0710  3 In 2.83-2.87
Te 0.7844 0.4365 0.6700  3 In 2.82-2.84
Te 0.9290 0.4332 0.3369  3 In 2.83-2.87
Te 0.5668 0.0710 0.6631  3 In 2.83-2.87
Te 0.1037 0.5000 0.8963  2 In 2.74
Te 0.0710 0.6631 0.5668  3 In 2.83-2.87
In 0.1447 0.1193 0.4242  4 Te 2.74-2.84
In 0.4266 0.4266 0.4266  1 In 2.76, 3 Te 2.84
In 0.2492 0.8263 0.6713  4 Te 2.75-2.87
In 0.4242 0.1447 0.1193  4 Te 2.74-2.84
In 0.5758 0.8807 0.8553  4 Te 2.74-2.84
In 0.5734 0.5734 0.5734  1 In 2.76, 3 Te 2.84
In 0.7508 0.3287 0.1737  4 Te 2.75-2.87
In 0.3287 0.1737 0.7508  4 Te 2.75-2.87
In 0.8263 0.6713 0.2492  4 Te 2.75-2.87
In 0.8807 0.8553 0.5758  4 Te 2.74-2.84
In 0.1737 0.7508 0.3287  4 Te 2.75-2.87
In 0.1193 0.4242 0.1447  4 Te 2.74-2.84
In 0.6713 0.2492 0.8263  4 Te 2.75-2.87
In 0.8553 0.5758 0.8807  4 Te 2.74-2.84

---

Record 20
A crystal of CaTlSe2 relaxed with PBEsol. Source: Alexandria, functional meta-GGA SCAN.

Total magnetic moment ... 0.00 μB/f.u.
Total energy ... -31.80 eV per atom
Calculated volume ... 25.86 A^3/atom

Cell: 4.1661 4.1661 5.9588 Å, 90.00 90.00 90.00°
With the nearest neighbours (Å) after each atom.
Fractional coordinates of all 4 atoms:
Tl 0.0000 0.0000 0.3750  6 Se 2.95-2.98
Ca 0.5000 0.5000 0.8749  6 Se 2.95-2.98
Se 0.5000 0.5000 0.3750  4 Tl 2.95, 2 Ca 2.98
Se 0.0000 0.0000 0.8750  4 Ca 2.95, 2 Tl 2.98